RbLi3Y | PBE-GGA | relaxed

Cell: 6.168 6.168 6.168 Å, 90.00 90.00 90.00°
Space group Pm-3m (No. 221)
Unique sites:
Rb 0.000 0.000 0.000 x1
Li 0.000 0.500 0.500 x3
Y 0.500 0.500 0.500 x1

Computed properties:
The density of states at the Fermi level comes out at 1.164 states/eV per atom. For the uncorrected energy, the calculation gives -1.8915 eV per atom. Its formation energy is 358 kJ/mol of formula units. The relative energy among the computed polymorphs comes out at 0.0 kJ/mol of atoms.

---

Rb3LiY | PBE-GGA | relaxed

Cell: 6.851 6.851 6.851 Å, 90.00 90.00 90.00°
Space group Pm-3m (No. 221)
Unique sites:
Rb 0.000 0.000 0.500 x3
Li 0.000 0.000 0.000 x1
Y 0.500 0.500 0.500 x1

Computed properties:
The density of states at the Fermi level comes out at 1.243 states/eV per atom. For the uncorrected energy, the calculation gives -1.5421 eV per atom. Its formation energy is 344 kJ/mol of formula units. The relative energy among the computed polymorphs comes out at 0.0 kJ/mol of atoms.